# 1
Compound: Na2SmDyS4
Source: Alexandria
Functional: GGA-PBE
Structure: optimized geometry

a = 4.032 Å, b = 6.983 Å, c = 7.080 Å
α = 109.17°, β = 90.00°, γ = 90.00°
Element x y z (fractional)
S 0.000 0.262 0.772
S 0.000 0.738 0.228
S 0.500 0.248 0.230
S 0.500 0.752 0.770
Na 0.500 0.000 0.500
Na 0.000 0.500 0.500
Sm 0.000 0.000 0.000
Dy 0.500 0.500 0.000

Properties
For the final energy, the calculation gives -43.1 eV for the cell shown.

# 2
Compound: Y2HfNiRh
Source: Alexandria
Functional: GGA-PBE
Structure: optimized geometry

a = 4.951 Å, b = 4.775 Å, c = 4.951 Å
α = 90.00°, β = 90.00°, γ = 90.00°
Each line ends with the local moment (μB).
Element x y z (fractional)
Y 0.500 0.000 0.000  0.06
Y 0.000 0.000 0.500  0.05
Hf 0.500 0.500 0.500  0.33
Ni 0.000 0.000 0.000  -0.01
Rh 0.000 0.500 0.000  0.02

Properties
For the final energy, the calculation gives -34.5 eV for the cell shown.

# 3
Compound: La2SmLu
Source: Alexandria
Functional: GGA-PBE
Structure: optimized geometry

a = 5.073 Å, b = 5.181 Å, c = 5.181 Å
α = 90.00°, β = 90.00°, γ = 90.00°
Element x y z (fractional)
La 0.000 0.500 0.000
La 0.000 0.000 0.500
Sm 0.500 0.000 0.000
Lu 0.500 0.500 0.500

Properties
As for the relative energy among the computed polymorphs: 0.000 eV/atom. For the final energy, the calculation gives -19.0 eV for the cell shown.

# 4
Compound: GdErBeNi
Source: Alexandria
Functional: GGA-PBE
Structure: optimized geometry

a = 4.798 Å, b = 4.798 Å, c = 4.798 Å
α = 60.00°, β = 60.00°, γ = 60.00°
Each line ends with the local moment (μB).
Element x y z (fractional)
Gd 0.500 0.500 0.500  7.01
Ni 0.250 0.250 0.250  -0.03
Be 0.750 0.750 0.750  -0.01
Er 0.000 0.000 0.000  0.00

Properties
For the final energy, the calculation gives -28.7 eV for the cell shown.

# 5
Compound: Tb9Pm2Pr
Source: Alexandria
Functional: GGA-PBE
Structure: optimized geometry

a = 5.073 Å, b = 5.073 Å, c = 15.221 Å
α = 90.00°, β = 90.00°, γ = 90.00°
Element x y z (fractional)
Tb 0.500 0.000 0.168
Tb 0.000 0.500 0.168
Tb 0.500 0.000 0.832
Tb 0.000 0.500 0.832
Tb 0.500 0.000 0.500
Tb 0.500 0.500 0.000
Tb 0.500 0.500 0.334
Tb 0.000 0.500 0.500
Tb 0.500 0.500 0.666
Pr 0.000 0.000 0.000
Pm 0.000 0.000 0.334
Pm 0.000 0.000 0.666

Properties
As for the relative energy among the computed polymorphs: 0.000 eV/atom. For the final energy, the calculation gives -55.7 eV for the cell shown.

# 6
Compound: CaScCu2
Source: Alexandria
Functional: GGA-PBE
Structure: optimized geometry

a = 5.547 Å, b = 5.547 Å, c = 5.547 Å
α = 137.04°, β = 137.04°, γ = 62.38°
Element x y z (fractional)
Cu 0.250 0.750 0.500
Cu 0.000 0.000 0.000
Ca 0.750 0.250 0.500
Sc 0.500 0.500 0.000

Properties
As for the relative energy among the computed polymorphs: 0.292 eV/atom. For the final energy, the calculation gives -16.1 eV for the cell shown.